Below is crystalline PmTl2PbSe4 at its relaxed geometry, with properties calculated at the PBE level.

a = 7.6372 Å, b = 4.3095 Å, c = 7.8121 Å
α = 90.00°, β = 109.38°, γ = 90.00°
With the nearest neighbours (Å) after each atom.
Positions (direct):
1 Pm 0.0000 0.0000 0.0000  6 Se 2.95-2.98
2 Tl 0.0000 0.5000 0.5000  6 Se 3.14-3.22
3 Tl 0.5000 0.0000 0.5000  6 Se 3.27-3.33
4 Pb 0.5000 0.5000 0.0000  6 Se 3.07-3.10
5 Se 0.2298 0.5000 0.2204  2 Pm 2.95, 1 Pb 3.10, 3 Tl 3.22-3.27
6 Se 0.2414 0.0000 0.7688  1 Pm 2.98, 2 Pb 3.07, 3 Tl 3.14-3.33
7 Se 0.7586 0.0000 0.2312  1 Pm 2.98, 2 Pb 3.07, 3 Tl 3.14-3.33
8 Se 0.7702 0.5000 0.7796  2 Pm 2.95, 1 Pb 3.10, 3 Tl 3.22-3.27

Output
As for the crystal system: monoclinic. As for the formation energy without anion corrections: -0.869 eV per atom.

---

Below is crystalline LuPaCu2 at its relaxed geometry, with properties calculated at the PBE level.

a = 4.8394 Å, b = 4.8394 Å, c = 4.8394 Å
α = 60.00°, β = 60.00°, γ = 60.00°
With the nearest neighbours (Å) after each atom.
Positions (direct):
1 Lu 0.0000 0.0000 0.0000  8 Cu 2.96
2 Pa 0.5000 0.5000 0.5000  8 Cu 2.96
3 Cu 0.2500 0.2500 0.2500  4 Pa 2.96, 4 Lu 2.96
4 Cu 0.7500 0.7500 0.7500  4 Lu 2.96, 4 Pa 2.96

Output
As for the crystal system: cubic. For the formation energy, the calculation gives 0.020 eV/atom.

---

Below is crystalline RbNa2CuF4 at its relaxed geometry, with properties calculated at the PBE level.

a = 6.4524 Å, b = 6.4524 Å, c = 11.8852 Å
α = 90.00°, β = 90.00°, γ = 147.50°
With the nearest neighbours (Å) after each atom.
Positions (direct):
1 Rb 0.0627 0.9373 0.7500  2 F 2.65
2 Rb 0.9373 0.0627 0.2500  2 F 2.65
3 Na 0.3707 0.6293 0.5492  6 F 2.31-2.48
4 Na 0.3707 0.6293 0.9508  6 F 2.31-2.48
5 Na 0.6293 0.3707 0.0492  6 F 2.31-2.48
6 Na 0.6293 0.3707 0.4508  6 F 2.31-2.48
7 Cu 0.2254 0.7746 0.2500  2 F 1.85
8 Cu 0.7746 0.2254 0.7500  2 F 1.85
9 F 0.0000 0.0000 0.0000  4 Na 2.48
10 F 0.0000 0.0000 0.5000  4 Na 2.48
11 F 0.2469 0.7531 0.0957  1 Cu 1.85
12 F 0.2469 0.7531 0.4043  1 Cu 1.85
13 F 0.4064 0.5936 0.7500  2 Na 2.43, 2 Cu 2.43, 2 Rb 2.65
14 F 0.5936 0.4064 0.2500  2 Na 2.43, 2 Cu 2.43, 2 Rb 2.65
15 F 0.7531 0.2469 0.5957  1 Cu 1.85
16 F 0.7531 0.2469 0.9043  1 Cu 1.85

Output
As for the crystal system: orthorhombic. As for the formation energy without anion corrections: -2.227 eV per atom.

---

Below is crystalline Ba3MgNb2O9 at its relaxed geometry, with properties calculated at the PBE level.

a = 5.8614 Å, b = 5.8614 Å, c = 7.1927 Å
α = 90.00°, β = 90.00°, γ = 120.00°
With the nearest neighbours (Å) after each atom.
Positions (direct):
1 Ba 0.0000 0.0000 0.0000  12 O 2.92-2.93
2 Ba 0.3333 0.6667 0.6680  12 O 2.93-2.96
3 Ba 0.6667 0.3333 0.3320  12 O 2.93-2.96
4 Mg 0.0000 0.0000 0.5000  6 O 2.14
5 Nb 0.3333 0.6667 0.1793  6 O 1.96-2.13
6 Nb 0.6667 0.3333 0.8207  6 O 1.96-2.13
7 O 0.0000 0.5000 0.0000  2 Nb 2.13
8 O 0.1713 0.3425 0.3262  1 Nb 1.96, 1 Mg 2.14
9 O 0.1713 0.8287 0.3262  1 Nb 1.96, 1 Mg 2.14
10 O 0.3425 0.1713 0.6738  1 Nb 1.96, 1 Mg 2.14
11 O 0.5000 0.0000 0.0000  2 Nb 2.13
12 O 0.5000 0.5000 0.0000  2 Nb 2.13
13 O 0.6575 0.8287 0.3262  1 Nb 1.96, 1 Mg 2.14
14 O 0.8287 0.1713 0.6738  1 Nb 1.96, 1 Mg 2.14
15 O 0.8287 0.6575 0.6738  1 Nb 1.96, 1 Mg 2.14

Output
As for the crystal system: trigonal. As for the formation energy without anion corrections: -2.853 eV per atom.

---

Number 1: Fermi-level density of states 0.696 states/eV/atom. Number 2: Fermi-level density of states 1.241 states/eV/atom. Number 3: Fermi-level density of states 0.000 states/eV/atom. Number 4: Fermi-level density of states 0.000 states/eV/atom.